Record 1
Density functional theory data (PBE) for a relaxed GdTc2 crystal.

Calculated values
Distance to the lowest polymorph of the same formula: 0.000 eV per atom
Energy: -25.76 eV/f.u.
DFT formation energy: -0.4 eV/f.u.
Volume: 18.7 Å³ per atom
Theoretical density: 10.46 Mg/m³

a b c (Å): 5.3970 5.3970 8.8955
angles (deg): 90.00 90.00 120.00
Fractional coordinates of all 12 atoms:
Gd (0.3333, 0.6667, 0.0629)
Gd (0.3333, 0.6667, 0.4371)
Gd (0.6667, 0.3333, 0.5629)
Gd (0.6667, 0.3333, 0.9371)
Tc (0.0000, 0.0000, 0.0000)
Tc (0.0000, 0.0000, 0.5000)
Tc (0.1708, 0.3417, 0.7500)
Tc (0.1708, 0.8292, 0.7500)
Tc (0.3417, 0.1708, 0.2500)
Tc (0.6583, 0.8292, 0.7500)
Tc (0.8292, 0.1708, 0.2500)
Tc (0.8292, 0.6583, 0.2500)

=====

Record 2
Density functional theory data (PBE) for a relaxed Cu15Sn crystal.

Calculated values
Distance to the lowest polymorph of the same formula: 0.016 eV per atom
Energy: -58.87 eV/f.u.
Volume: 19.5 Å³ per atom
Theoretical density: 5.72 Mg/m³

a b c (Å): 4.3831 34.2082 4.3806
angles (deg): 90.00 108.55 90.00
Fractional coordinates of all 32 atoms:
Cu (0.0000, 0.0184, 0.2500)
Cu (0.0000, 0.0564, 0.7500)
Cu (0.0000, 0.0931, 0.2500)
Cu (0.0000, 0.1308, 0.7500)
Cu (0.0000, 0.1671, 0.2500)
Cu (0.0000, 0.2050, 0.7500)
Cu (0.0000, 0.2421, 0.2500)
Cu (0.0000, 0.2793, 0.7500)
Cu (0.0000, 0.7207, 0.2500)
Cu (0.0000, 0.7579, 0.7500)
Cu (0.0000, 0.7950, 0.2500)
Cu (0.0000, 0.8329, 0.7500)
Cu (0.0000, 0.8692, 0.2500)
Cu (0.0000, 0.9069, 0.7500)
Cu (0.0000, 0.9436, 0.2500)
Cu (0.0000, 0.9816, 0.7500)
Cu (0.5000, 0.0186, 0.7500)
Cu (0.5000, 0.0558, 0.2500)
Cu (0.5000, 0.0931, 0.7500)
Cu (0.5000, 0.1294, 0.2500)
Cu (0.5000, 0.1670, 0.7500)
Cu (0.5000, 0.2041, 0.2500)
Cu (0.5000, 0.2419, 0.7500)
Cu (0.5000, 0.7581, 0.2500)
Cu (0.5000, 0.7959, 0.7500)
Cu (0.5000, 0.8330, 0.2500)
Cu (0.5000, 0.8706, 0.7500)
Cu (0.5000, 0.9069, 0.2500)
Cu (0.5000, 0.9442, 0.7500)
Cu (0.5000, 0.9814, 0.2500)
Sn (0.5000, 0.2936, 0.2500)
Sn (0.5000, 0.7064, 0.7500)

=====

Record 3
Density functional theory data (PBE) for a relaxed TmTlFeTe3 crystal.

Calculated values
Distance to the lowest polymorph of the same formula: 0.165 eV per atom
Energy: -27.37 eV/f.u.
Volume: 30.7 Å³ per atom
Theoretical density: 7.31 Mg/m³

a b c (Å): 9.3967 9.3967 9.4291
angles (deg): 102.41 102.41 27.02
Fractional coordinates of all 12 atoms:
Tm (0.1713, 0.1713, 0.0817)
Tm (0.8287, 0.8287, 0.9183)
Tl (0.1407, 0.1407, 0.5618)
Tl (0.8593, 0.8593, 0.4382)
Fe (0.4933, 0.4933, 0.7950)
Fe (0.5067, 0.5067, 0.2050)
Te (0.0000, 0.0000, 0.0000)
Te (0.3404, 0.3404, 0.7065)
Te (0.3407, 0.3407, 0.1461)
Te (0.5000, 0.5000, 0.5000)
Te (0.6593, 0.6593, 0.8539)
Te (0.6596, 0.6596, 0.2935)

=====

Record 4
Density functional theory data (PBE) for a relaxed HfZn2W crystal.

Calculated values
Energy: -23.77 eV/f.u.
DFT formation energy: 1.7 eV/f.u.
Volume: 16.9 Å³ per atom
Theoretical density: 12.11 Mg/m³

a b c (Å): 6.4669 6.4669 6.4669
angles (deg): 90.00 90.00 90.00
Fractional coordinates of all 16 atoms:
Hf (0.0000, 0.0000, 0.0000)
Hf (0.0000, 0.5000, 0.5000)
Hf (0.5000, 0.0000, 0.5000)
Hf (0.5000, 0.5000, 0.0000)
Zn (0.0000, 0.0000, 0.5000)
Zn (0.0000, 0.5000, 0.0000)
Zn (0.2500, 0.2500, 0.2500)
Zn (0.2500, 0.7500, 0.7500)
Zn (0.5000, 0.0000, 0.0000)
Zn (0.5000, 0.5000, 0.5000)
Zn (0.7500, 0.2500, 0.7500)
Zn (0.7500, 0.7500, 0.2500)
W (0.2500, 0.2500, 0.7500)
W (0.2500, 0.7500, 0.2500)
W (0.7500, 0.2500, 0.2500)
W (0.7500, 0.7500, 0.7500)

=====

Record 5
Density functional theory data (PBE) for a relaxed GdErAg2Bi4 crystal.

Calculated values
Energy: -34.62 eV/f.u.
Volume: 26.3 Å³ per atom
Theoretical density: 10.87 Mg/m³

a b c (Å): 4.5265 4.5265 10.2649
angles (deg): 90.00 90.00 90.00
Fractional coordinates of all 8 atoms:
Gd (0.0000, 0.0000, 0.0000)
Er (0.5000, 0.5000, 0.4961)
Ag (0.0000, 0.5000, 0.7468)
Ag (0.5000, 0.0000, 0.7468)
Bi (0.0000, 0.0000, 0.5565)
Bi (0.0000, 0.5000, 0.2491)
Bi (0.5000, 0.0000, 0.2491)
Bi (0.5000, 0.5000, 0.9377)

=====

Record 6
Density functional theory data (PBE) for a relaxed CoRePbAu crystal.

Calculated values
Distance to the lowest polymorph of the same formula: 0.000 eV per atom
Energy: -23.14 eV/f.u.
Volume: 16.9 Å³ per atom
Theoretical density: 15.96 Mg/m³

a b c (Å): 6.4652 6.4652 6.4652
angles (deg): 90.00 90.00 90.00
Fractional coordinates of all 16 atoms:
Co (0.0000, 0.0000, 0.0000)
Co (0.0000, 0.5000, 0.5000)
Co (0.5000, 0.0000, 0.5000)
Co (0.5000, 0.5000, 0.0000)
Re (0.0000, 0.0000, 0.5000)
Re (0.0000, 0.5000, 0.0000)
Re (0.5000, 0.0000, 0.0000)
Re (0.5000, 0.5000, 0.5000)
Pb (0.2500, 0.2500, 0.7500)
Pb (0.2500, 0.7500, 0.2500)
Pb (0.7500, 0.2500, 0.2500)
Pb (0.7500, 0.7500, 0.7500)
Au (0.2500, 0.2500, 0.2500)
Au (0.2500, 0.7500, 0.7500)
Au (0.7500, 0.2500, 0.7500)
Au (0.7500, 0.7500, 0.2500)